The following is a DFT calculation (PBE-GGA) of crystalline Mn2Cd at its relaxed geometry.

Cell lengths 10.6369, 2.8599, 6.8256 Å; angles 90.00, 104.51, 90.00 degrees
Sites, in units of the cell vectors:
1 Mn 0.0000 0.0000 0.0000
2 Mn 0.0580 0.0000 0.6259
3 Mn 0.2206 0.5000 0.9477
4 Mn 0.3894 0.0000 0.2638
5 Mn 0.5000 0.5000 0.0000
6 Mn 0.5580 0.5000 0.6259
7 Mn 0.7206 0.0000 0.9477
8 Mn 0.8894 0.5000 0.2638
9 Cd 0.1603 0.5000 0.3246
10 Cd 0.3367 0.0000 0.6722
11 Cd 0.6603 0.0000 0.3246
12 Cd 0.8367 0.5000 0.6722

Values from the calculation:
As for the total energy: -5.97 eV/atom. The space group is Cm. For the energy of formation, the calculation gives 450 meV/atom.